LaZnCd2, PBEsol geometry, DFT SCAN; formation enthalpy at 0 K = -358.7 meV/atom; DFT total energy = -118.9 eV per cell
1.0
-4.322 2.212 -1.299
-4.093 -2.790 -0.854
-3.841 0.111 3.245
Zn Cd La
1 2 1
Direct
0.750 0.750 0.751 Zn
0.000 0.000 0.000 Cd
0.250 0.250 0.250 Cd
0.500 0.500 0.500 La